1.
# LaPm4Ga4 | Alexandria via LeMat-Bulk | GGA-PBE | optimized geometry
# Magnetic moment, μB per cell: 0.000
# E, eV per atom: -4.3088
data_LaPm4Ga4
_chemical_formula_sum 'La2 Pm8 Ga8'
_space_group_name_H-M_alt 'P 42/n'
_space_group_IT_number 86
_cell_length_a 9.0093
_cell_length_b 9.0093
_cell_length_c 5.9515
_cell_angle_alpha 90.00
_cell_angle_beta 90.00
_cell_angle_gamma 90.00
loop_
_space_group_symop_operation_xyz
'x,y,z'
'-x,-y,-z'
'-y,x+1/2,z+1/2'
'y,-x+1/2,-z+1/2'
'-x+1/2,-y+1/2,z'
'x+1/2,y+1/2,-z'
'y+1/2,-x,z+1/2'
'-y+1/2,x,-z+1/2'
loop_
_atom_site_label
_atom_site_fract_x
_atom_site_fract_y
_atom_site_fract_z
La1 0.2500 0.2500 0.2500
Pm1 0.0858 0.8337 0.6119
Ga1 0.0252 0.1298 0.8780

2.
# Tb3PrNdTm | Alexandria via LeMat-Bulk | GGA-PBE | optimized geometry
# Magnetic moment, μB per cell: 0.000
# E, eV per atom: -4.5392
data_Tb3PrNdTm
_chemical_formula_sum 'Tb12 Pr4 Nd4 Tm4'
_space_group_name_H-M_alt 'C m c m'
_space_group_IT_number 63
_space_group_name_Hall '-C 2c 2'
_cell_length_a 5.9371
_cell_length_b 11.2288
_cell_length_c 11.8669
_cell_angle_alpha 90.00
_cell_angle_beta 90.00
_cell_angle_gamma 90.00
loop_
_atom_site_label
_atom_site_fract_x
_atom_site_fract_y
_atom_site_fract_z
Tb1 0.0000 0.1728 0.0060
Tb2 0.0000 0.3254 0.7500
Pr1 0.0000 0.5000 0.0000
Nd1 0.0000 0.0069 0.7500
Tm1 0.0000 0.3318 0.2500

3.
# Cd2InPb2 | Alexandria via LeMat-Bulk | GGA-PBE | optimized geometry
# Magnetic moment, μB per cell: 0.000
# E, eV per atom: -2.3599
data_Cd2InPb2
_chemical_formula_sum 'Cd4 In2 Pb4'
_space_group_name_H-M_alt 'C 1 2/m 1'
_space_group_IT_number 12
_space_group_name_Hall '-C 2y'
_cell_length_a 11.5374
_cell_length_b 3.5115
_cell_length_c 8.2349
_cell_angle_alpha 90.00
_cell_angle_beta 124.46
_cell_angle_gamma 90.00
loop_
_atom_site_label
_atom_site_fract_x
_atom_site_fract_y
_atom_site_fract_z
Cd1 0.1138 0.0000 0.3882
In1 0.0000 0.5000 0.0000
Pb1 0.1753 0.5000 0.7728

4.
# GdGaAgPb | Alexandria via LeMat-Bulk | GGA-PBE | optimized geometry
# Magnetic moment, μB per cell: 27.763
# E, eV per atom: -6.1428
data_GdGaAgPb
_chemical_formula_sum 'Gd4 Ga4 Ag4 Pb4'
_space_group_name_H-M_alt 'F -4 3 m'
_space_group_IT_number 216
_space_group_name_Hall 'F -4 2 3'
_cell_length_a 7.2456
_cell_length_b 7.2456
_cell_length_c 7.2456
_cell_angle_alpha 90.00
_cell_angle_beta 90.00
_cell_angle_gamma 90.00
loop_
_atom_site_label
_atom_site_fract_x
_atom_site_fract_y
_atom_site_fract_z
Gd1 0.0000 0.0000 0.0000
Ga1 0.2500 0.2500 0.2500
Ag1 0.2500 0.2500 0.7500
Pb1 0.0000 0.0000 0.5000

N(E_F) values, unit states/eV per cell, following the record order: 17.502; 47.512; 3.973; 11.297.